# 1
LiLa2Zn2 | Alexandria | PBE-GGA | relaxed; calculated formation energy = -0.188 eV per atom; symmetry = P4/mbm (127); relative energy among the computed polymorphs = 24 meV per atom; Fermi-level density of states = 1.021 states/eV per atom
1.0
7.440 0.000 0.000
0.000 7.440 0.000
0.000 0.000 4.681
Li La Zn
2 4 4
direct
0.000 0.000 0.000 Li
0.500 0.500 0.000 Li
0.157 0.343 0.500 La
0.343 0.843 0.500 La
0.657 0.157 0.500 La
0.843 0.657 0.500 La
0.137 0.637 0.000 Zn
0.363 0.137 0.000 Zn
0.637 0.863 0.000 Zn
0.863 0.363 0.000 Zn


# 2
Li3LaZn3 | Alexandria | PBE-GGA | relaxed; calculated formation energy = -0.166 eV per atom; symmetry = P6_3/m (176); relative energy among the computed polymorphs = 0 meV per atom; Fermi-level density of states = 0.466 states/eV per atom
1.0
8.162 0.000 0.000
-4.081 7.068 0.000
0.000 0.000 4.947
Li La Zn
6 2 6
direct
0.023 0.787 0.250 Li
0.213 0.236 0.250 Li
0.236 0.023 0.750 Li
0.764 0.977 0.250 Li
0.787 0.764 0.750 Li
0.977 0.213 0.750 Li
0.333 0.667 0.750 La
0.667 0.333 0.250 La
0.089 0.488 0.250 Zn
0.399 0.911 0.250 Zn
0.488 0.399 0.750 Zn
0.512 0.601 0.250 Zn
0.601 0.089 0.750 Zn
0.911 0.512 0.750 Zn


# 3
Li2LaZn | Alexandria | PBE-GGA | relaxed; calculated formation energy = 0.024 eV per atom; symmetry = Pmmm (47); Fermi-level density of states = 0.970 states/eV per atom
1.0
3.507 0.000 0.000
0.000 5.108 0.000
0.000 0.000 5.458
Li La Zn
2 1 1
direct
0.000 0.000 0.000 Li
0.500 0.500 0.000 Li
0.000 0.500 0.500 La
0.500 0.000 0.500 Zn


# 4
Li3LaZn3 | Alexandria | PBE-GGA | relaxed; calculated formation energy = 0.136 eV per atom; symmetry = Pm-3n (223); relative energy among the computed polymorphs = 302 meV per atom; Fermi-level density of states = 0.760 states/eV per atom
1.0
6.682 0.000 0.000
0.000 6.682 0.000
0.000 0.000 6.682
Li La Zn
6 2 6
direct
0.000 0.250 0.500 Li
0.000 0.750 0.500 Li
0.250 0.500 0.000 Li
0.500 0.000 0.250 Li
0.500 0.000 0.750 Li
0.750 0.500 0.000 Li
0.000 0.000 0.000 La
0.500 0.500 0.500 La
0.000 0.500 0.250 Zn
0.000 0.500 0.750 Zn
0.250 0.000 0.500 Zn
0.500 0.250 0.000 Zn
0.500 0.750 0.000 Zn
0.750 0.000 0.500 Zn


# 5
Li2LaZn2 | Alexandria | PBE-GGA | relaxed; calculated formation energy = -0.122 eV per atom; symmetry = P4/mbm (127); relative energy among the computed polymorphs = 62 meV per atom; Fermi-level density of states = 0.654 states/eV per atom
1.0
8.062 0.000 0.000
0.000 8.062 0.000
0.000 0.000 3.042
Li La Zn
4 2 4
direct
0.116 0.384 0.000 Li
0.384 0.884 0.000 Li
0.616 0.116 0.000 Li
0.884 0.616 0.000 Li
0.000 0.000 0.000 La
0.500 0.500 0.000 La
0.178 0.678 0.500 Zn
0.322 0.178 0.500 Zn
0.678 0.822 0.500 Zn
0.822 0.322 0.500 Zn


# 6
LiLa3Zn8 | Alexandria | PBE-GGA | relaxed; calculated formation energy = -0.280 eV per atom; symmetry = R3m (160); Fermi-level density of states = 0.408 states/eV per atom
1.0
2.787 1.609 9.118
-2.787 1.609 9.118
0.000 -3.218 9.118
Li La Zn
1 3 8
direct
0.000 0.000 0.000 Li
0.124 0.124 0.124 La
0.503 0.503 0.503 La
0.629 0.629 0.629 La
0.060 0.565 0.565 Zn
0.065 0.065 0.568 Zn
0.065 0.568 0.065 Zn
0.316 0.316 0.316 Zn
0.565 0.060 0.565 Zn
0.565 0.565 0.060 Zn
0.568 0.065 0.065 Zn
0.813 0.813 0.813 Zn


# 7
LiLa2Zn2 | Alexandria | PBE-GGA | relaxed; calculated formation energy = -0.212 eV per atom; symmetry = C2/m (12); relative energy among the computed polymorphs = 0 meV per atom; Fermi-level density of states = 0.767 states/eV per atom
1.0
4.784 -2.522 0.000
4.784 2.522 0.000
-4.608 0.000 10.125
Li La Zn
2 4 4
direct
0.178 0.178 0.381 Li
0.822 0.822 0.619 Li
0.173 0.173 0.684 La
0.390 0.390 0.096 La
0.610 0.610 0.904 La
0.827 0.827 0.316 La
0.088 0.088 0.126 Zn
0.445 0.445 0.588 Zn
0.555 0.555 0.412 Zn
0.912 0.912 0.874 Zn


# 8
Li2LaZn | Alexandria | PBE-GGA | relaxed; calculated formation energy = 0.120 eV per atom; symmetry = R-3m (166); Fermi-level density of states = 1.036 states/eV per atom
1.0
1.664 0.961 10.017
-1.664 0.961 10.017
0.000 -1.922 10.017
Li La Zn
2 1 1
direct
0.235 0.235 0.235 Li
0.765 0.765 0.765 Li
0.000 0.000 0.000 La
0.500 0.500 0.500 Zn


# 9
Li4LaZn | Alexandria | PBE-GGA | relaxed; calculated formation energy = -0.007 eV per atom; symmetry = F-43m (216); Fermi-level density of states = 0.675 states/eV per atom
1.0
0.000 3.920 3.920
3.920 0.000 3.920
3.920 3.920 0.000
Li La Zn
4 1 1
direct
0.122 0.122 0.122 Li
0.122 0.122 0.634 Li
0.122 0.634 0.122 Li
0.634 0.122 0.122 Li
0.500 0.500 0.500 La
0.750 0.750 0.750 Zn


# 10
Li4LaZn12 | Alexandria | PBE-GGA | relaxed; calculated formation energy = 0.149 eV per atom; symmetry = Im-3 (204); Fermi-level density of states = 0.490 states/eV per atom
1.0
-4.358 4.358 4.358
4.358 -4.358 4.358
4.358 4.358 -4.358
Li La Zn
4 1 12
direct
0.000 0.000 0.500 Li
0.000 0.500 0.000 Li
0.500 0.000 0.000 Li
0.500 0.500 0.500 Li
0.000 0.000 0.000 La
0.150 0.356 0.506 Zn
0.150 0.644 0.795 Zn
0.205 0.850 0.356 Zn
0.356 0.205 0.850 Zn
0.356 0.506 0.150 Zn
0.494 0.850 0.644 Zn
0.506 0.150 0.356 Zn
0.644 0.494 0.850 Zn
0.644 0.795 0.150 Zn
0.795 0.150 0.644 Zn
0.850 0.356 0.205 Zn
0.850 0.644 0.494 Zn


# 11
Li2La2Zn | Alexandria | PBE-GGA | relaxed; calculated formation energy = 0.265 eV per atom; symmetry = P4/mbm (127); relative energy among the computed polymorphs = 278 meV per atom; Fermi-level density of states = 0.688 states/eV per atom
1.0
7.807 0.000 0.000
0.000 7.807 0.000
0.000 0.000 5.066
Li La Zn
4 4 2
direct
0.158 0.342 0.000 Li
0.342 0.842 0.000 Li
0.658 0.158 0.000 Li
0.842 0.658 0.000 Li
0.134 0.634 0.500 La
0.366 0.134 0.500 La
0.634 0.866 0.500 La
0.866 0.366 0.500 La
0.000 0.000 0.500 Zn
0.500 0.500 0.500 Zn


# 12
Li4LaZn8 | Alexandria | PBE-GGA | relaxed; calculated formation energy = -0.204 eV per atom; symmetry = I4/mmm (139); Fermi-level density of states = 0.303 states/eV per atom
1.0
-4.720 4.720 2.388
4.720 -4.720 2.388
4.720 4.720 -2.388
Li La Zn
4 1 8
direct
0.000 0.000 0.500 Li
0.000 0.500 0.000 Li
0.500 0.000 0.000 Li
0.500 0.500 0.500 Li
0.000 0.000 0.000 La
0.000 0.359 0.359 Zn
0.000 0.641 0.641 Zn
0.272 0.500 0.772 Zn
0.359 0.000 0.359 Zn
0.500 0.272 0.772 Zn
0.500 0.728 0.228 Zn
0.641 0.000 0.641 Zn
0.728 0.500 0.228 Zn